# 1
## NaSbPdI2 (GGA-PBE)

Data for NaSbPdI2 after structural relaxation.

Calculated values
- Magnetic moment: 1.55 μB/f.u.
- Symmetry: P4/mmm, No. 123
- Distance to the lowest polymorph of the same formula: 839 meV per atom
- Raw total energy: -2.099 eV/atom

Structure (CIF):
```
data_NaSbPdI2
_chemical_formula_sum 'Na1 Sb1 Pd1 I2'
_symmetry_space_group_name_H-M 'P 1'
_symmetry_Int_Tables_number 1
_symmetry_space_group_name_Hall 'P 1'
_cell_length_a 5.6779
_cell_length_b 5.6779
_cell_length_c 5.7104
_cell_angle_alpha 90.00
_cell_angle_beta 90.00
_cell_angle_gamma 90.00
loop_
_atom_site_label
_atom_site_fract_x
_atom_site_fract_y
_atom_site_fract_z
_atom_site_occupancy
I1 0.5000 0.0000 0.0000 1
Sb1 0.0000 0.0000 0.5000 1
I2 0.0000 0.5000 0.0000 1
Pd1 0.5000 0.5000 0.5000 1
Na1 0.0000 0.0000 0.0000 1
```

***

# 2
## NaSiPdI2 (GGA-PBE)

Data for NaSiPdI2 after structural relaxation.

Calculated values
- Magnetic moment: 1.48 μB/f.u.
- Symmetry: P4/mmm, No. 123
- Raw total energy: -2.656 eV/atom

Structure (CIF):
```
data_NaSiPdI2
_chemical_formula_sum 'Na1 Si1 Pd1 I2'
_symmetry_space_group_name_H-M 'P 1'
_symmetry_Int_Tables_number 1
_symmetry_space_group_name_Hall 'P 1'
_cell_length_a 5.4842
_cell_length_b 5.2817
_cell_length_c 5.4842
_cell_angle_alpha 90.00
_cell_angle_beta 90.00
_cell_angle_gamma 90.00
loop_
_atom_site_label
_atom_site_fract_x
_atom_site_fract_y
_atom_site_fract_z
_atom_site_occupancy
Si1 0.5000 0.5000 0.5000 1
I1 0.0000 0.0000 0.5000 1
Pd1 0.0000 0.0000 0.0000 1
I2 0.5000 0.0000 0.0000 1
Na1 0.0000 0.5000 0.0000 1
```

***

# 3
## NaTePdI2 (GGA-PBE)

Data for NaTePdI2 after structural relaxation.

Calculated values
- Magnetic moment: 0.66 μB/f.u.
- Symmetry: P4/mmm, No. 123
- Distance to the lowest polymorph of the same formula: 0 meV per atom
- Raw total energy: -2.845 eV/atom

Structure (CIF):
```
data_NaTePdI2
_chemical_formula_sum 'Na1 Te1 Pd1 I2'
_symmetry_space_group_name_H-M 'P 1'
_symmetry_Int_Tables_number 1
_symmetry_space_group_name_Hall 'P 1'
_cell_length_a 5.6817
_cell_length_b 5.6817
_cell_length_c 5.2917
_cell_angle_alpha 90.00
_cell_angle_beta 90.00
_cell_angle_gamma 90.00
loop_
_atom_site_label
_atom_site_fract_x
_atom_site_fract_y
_atom_site_fract_z
_atom_site_occupancy
Na1 0.5000 0.5000 0.5000 1
I1 0.5000 0.0000 0.0000 1
I2 0.0000 0.5000 0.0000 1
Pd1 0.0000 0.0000 0.0000 1
Te1 0.0000 0.0000 0.5000 1
```

***

# 4
## NaTePdI2 (GGA-PBE)

Data for NaTePdI2 after structural relaxation.

Calculated values
- Magnetic moment: 2.82 μB/f.u.
- Symmetry: P4/mmm, No. 123
- Distance to the lowest polymorph of the same formula: 834 meV per atom
- Raw total energy: -2.011 eV/atom

Structure (CIF):
```
data_NaTePdI2
_chemical_formula_sum 'Na1 Te1 Pd1 I2'
_symmetry_space_group_name_H-M 'P 1'
_symmetry_Int_Tables_number 1
_symmetry_space_group_name_Hall 'P 1'
_cell_length_a 5.7887
_cell_length_b 5.7887
_cell_length_c 5.7864
_cell_angle_alpha 90.00
_cell_angle_beta 90.00
_cell_angle_gamma 90.00
loop_
_atom_site_label
_atom_site_fract_x
_atom_site_fract_y
_atom_site_fract_z
_atom_site_occupancy
Na1 0.0000 0.0000 0.0000 1
Pd1 0.5000 0.5000 0.5000 1
Te1 0.0000 0.0000 0.5000 1
I1 0.0000 0.5000 0.0000 1
I2 0.5000 0.0000 0.0000 1
```

***

# 5
## NaTe2PdI (GGA-PBE)

Data for NaTe2PdI after structural relaxation.

Calculated values
- Magnetic moment: 0.00 μB/f.u.
- Symmetry: P4/mmm, No. 123
- Distance to the lowest polymorph of the same formula: 0 meV per atom
- Raw total energy: -3.042 eV/atom

Structure (CIF):
```
data_NaTe2PdI
_chemical_formula_sum 'Na1 Te2 Pd1 I1'
_symmetry_space_group_name_H-M 'P 1'
_symmetry_Int_Tables_number 1
_symmetry_space_group_name_Hall 'P 1'
_cell_length_a 5.3364
_cell_length_b 5.3364
_cell_length_c 5.7643
_cell_angle_alpha 90.00
_cell_angle_beta 90.00
_cell_angle_gamma 90.00
loop_
_atom_site_label
_atom_site_fract_x
_atom_site_fract_y
_atom_site_fract_z
_atom_site_occupancy
I1 0.0000 0.0000 0.5000 1
Pd1 0.0000 0.0000 0.0000 1
Te1 0.0000 0.5000 0.0000 1
Na1 0.5000 0.5000 0.5000 1
Te2 0.5000 0.0000 0.0000 1
```

***

# 6
## NaTe2PdI (GGA-PBE)

Data for NaTe2PdI after structural relaxation.

Calculated values
- Magnetic moment: 0.59 μB/f.u.
- Symmetry: P4/mmm, No. 123
- Distance to the lowest polymorph of the same formula: 891 meV per atom
- Raw total energy: -2.151 eV/atom

Structure (CIF):
```
data_NaTe2PdI
_chemical_formula_sum 'Na1 Te2 Pd1 I1'
_symmetry_space_group_name_H-M 'P 1'
_symmetry_Int_Tables_number 1
_symmetry_space_group_name_Hall 'P 1'
_cell_length_a 5.4989
_cell_length_b 5.4989
_cell_length_c 5.6749
_cell_angle_alpha 90.00
_cell_angle_beta 90.00
_cell_angle_gamma 90.00
loop_
_atom_site_label
_atom_site_fract_x
_atom_site_fract_y
_atom_site_fract_z
_atom_site_occupancy
Te1 0.0000 0.5000 0.0000 1
I1 0.0000 0.0000 0.5000 1
Te2 0.5000 0.0000 0.0000 1
Pd1 0.5000 0.5000 0.5000 1
Na1 0.0000 0.0000 0.0000 1
```

***

# 7
## NaTlPd2I (GGA-PBE)

Data for NaTlPd2I after structural relaxation.

Calculated values
- Magnetic moment: 0.00 μB/f.u.
- Symmetry: P4/mmm, No. 123
- Raw total energy: -2.869 eV/atom

Structure (CIF):
```
data_NaTlPd2I
_chemical_formula_sum 'Na1 Tl1 Pd2 I1'
_symmetry_space_group_name_H-M 'P 1'
_symmetry_Int_Tables_number 1
_symmetry_space_group_name_Hall 'P 1'
_cell_length_a 5.0665
_cell_length_b 6.3838
_cell_length_c 5.0665
_cell_angle_alpha 90.00
_cell_angle_beta 90.00
_cell_angle_gamma 90.00
loop_
_atom_site_label
_atom_site_fract_x
_atom_site_fract_y
_atom_site_fract_z
_atom_site_occupancy
Na1 0.5000 0.5000 0.5000 1
Tl1 0.0000 0.5000 0.0000 1
Pd1 0.5000 0.0000 0.0000 1
I1 0.0000 0.0000 0.0000 1
Pd2 0.0000 0.0000 0.5000 1
```

***

# 8
## NaTl2PdI (GGA-PBE)

Data for NaTl2PdI after structural relaxation.

Calculated values
- Magnetic moment: 0.00 μB/f.u.
- Symmetry: P4/mmm, No. 123
- Raw total energy: -2.922 eV/atom

Structure (CIF):
```
data_NaTl2PdI
_chemical_formula_sum 'Na1 Tl2 Pd1 I1'
_symmetry_space_group_name_H-M 'P 1'
_symmetry_Int_Tables_number 1
_symmetry_space_group_name_Hall 'P 1'
_cell_length_a 5.3450
_cell_length_b 5.3450
_cell_length_c 5.7237
_cell_angle_alpha 90.00
_cell_angle_beta 90.00
_cell_angle_gamma 90.00
loop_
_atom_site_label
_atom_site_fract_x
_atom_site_fract_y
_atom_site_fract_z
_atom_site_occupancy
Tl1 0.0000 0.5000 0.0000 1
Tl2 0.5000 0.0000 0.0000 1
Na1 0.0000 0.0000 0.5000 1
Pd1 0.0000 0.0000 0.0000 1
I1 0.5000 0.5000 0.5000 1
```

***

# 9
## Na2YPdI (GGA-PBE)

Data for Na2YPdI after structural relaxation.

Calculated values
- Magnetic moment: 0.00 μB/f.u.
- Symmetry: P4/mmm, No. 123
- Raw total energy: -2.964 eV/atom

Structure (CIF):
```
data_Na2YPdI
_chemical_formula_sum 'Na2 Y1 Pd1 I1'
_symmetry_space_group_name_H-M 'P 1'
_symmetry_Int_Tables_number 1
_symmetry_space_group_name_Hall 'P 1'
_cell_length_a 5.2815
_cell_length_b 5.4389
_cell_length_c 5.2815
_cell_angle_alpha 90.00
_cell_angle_beta 90.00
_cell_angle_gamma 90.00
loop_
_atom_site_label
_atom_site_fract_x
_atom_site_fract_y
_atom_site_fract_z
_atom_site_occupancy
I1 0.0000 0.5000 0.0000 1
Na1 0.5000 0.0000 0.0000 1
Pd1 0.0000 0.0000 0.0000 1
Na2 0.0000 0.0000 0.5000 1
Y1 0.5000 0.5000 0.5000 1
```

***

# 10
## Na3PmI6 (GGA-PBE)

Data for Na3PmI6 after structural relaxation.

Calculated values
- Magnetic moment: 0.00 μB/f.u.
- Symmetry: R-3, No. 148
- Distance to the lowest polymorph of the same formula: 0 meV per atom
- Raw total energy: -3.100 eV/atom

Structure (CIF):
```
data_Na3PmI6
_chemical_formula_sum 'Na6 Pm2 I12'
_symmetry_space_group_name_H-M 'P 1'
_symmetry_Int_Tables_number 1
_symmetry_space_group_name_Hall 'P 1'
_cell_length_a 9.5138
_cell_length_b 9.5138
_cell_length_c 9.5138
_cell_angle_alpha 91.00
_cell_angle_beta 91.00
_cell_angle_gamma 91.00
loop_
_atom_site_label
_atom_site_fract_x
_atom_site_fract_y
_atom_site_fract_z
_atom_site_occupancy
I1 0.8104 0.4491 0.5885 1
I2 0.9114 0.6940 0.0768 1
I3 0.5885 0.8104 0.4491 1
Pm1 0.5000 0.5000 0.5000 1
Na1 0.5753 0.0827 0.2445 1
I4 0.5509 0.4115 0.1896 1
Na2 0.9173 0.7555 0.4247 1
I5 0.4115 0.1896 0.5509 1
I6 0.6940 0.0768 0.9114 1
Pm2 0.0000 0.0000 0.0000 1
I7 0.0886 0.3060 0.9232 1
I8 0.4491 0.5885 0.8104 1
I9 0.9232 0.0886 0.3060 1
I10 0.3060 0.9232 0.0886 1
Na3 0.7555 0.4247 0.9173 1
I11 0.0768 0.9114 0.6940 1
Na4 0.2445 0.5753 0.0827 1
I12 0.1896 0.5509 0.4115 1
Na5 0.0827 0.2445 0.5753 1
Na6 0.4247 0.9173 0.7555 1
```

***

# 11
## Na4Pm2I9 (GGA-PBE)

Data for Na4Pm2I9 after structural relaxation.

Calculated values
- Magnetic moment: 1.00 μB/f.u.
- Symmetry: P-1, No. 2
- Raw total energy: -3.229 eV/atom

Structure (CIF):
```
data_Na4Pm2I9
_chemical_formula_sum 'Na8 Pm4 I18'
_symmetry_space_group_name_H-M 'P 1'
_symmetry_Int_Tables_number 1
_symmetry_space_group_name_Hall 'P 1'
_cell_length_a 8.0982
_cell_length_b 8.1049
_cell_length_c 21.9026
_cell_angle_alpha 90.03
_cell_angle_beta 90.05
_cell_angle_gamma 60.09
loop_
_atom_site_label
_atom_site_fract_x
_atom_site_fract_y
_atom_site_fract_z
_atom_site_occupancy
I1 0.0216 0.6613 0.5855 1
I2 0.6835 0.0004 0.7501 1
Na1 0.3326 0.3335 0.9848 1
I3 0.6836 0.3171 0.2499 1
Na2 0.6680 0.6659 0.8292 1
Pm1 0.0002 0.9980 0.1635 1
Na3 0.3320 0.3341 0.1708 1
Pm2 0.9998 0.0020 0.8365 1
Na4 0.6674 0.6665 0.0152 1
I4 0.3390 0.9774 0.9141 1
I5 0.9775 0.6864 0.9141 1
I6 0.0225 0.3136 0.0859 1
I7 0.6836 0.3394 0.9138 1
Na5 0.6655 0.6669 0.3303 1
Na6 0.3345 0.3331 0.6697 1
Pm3 0.9986 0.0027 0.3362 1
I8 0.3164 0.6606 0.0862 1
I9 0.9976 0.6843 0.2500 1
I10 0.6825 0.9807 0.4138 1
I11 0.3175 0.0193 0.5862 1
I12 0.9784 0.3387 0.4145 1
I13 0.3357 0.6850 0.4135 1
I14 0.6643 0.3150 0.5865 1
I15 0.3165 0.9996 0.2499 1
I16 0.6610 0.0226 0.0859 1
Pm4 0.0014 0.9973 0.6638 1
Na7 0.6652 0.6667 0.5142 1
I17 0.3164 0.6829 0.7501 1
Na8 0.3348 0.3333 0.4858 1
I18 0.0024 0.3157 0.7500 1
```

***

# 12
## Na2PmI5 (GGA-PBE)

Data for Na2PmI5 after structural relaxation.

Calculated values
- Magnetic moment: 0.00 μB/f.u.
- Symmetry: Cm, No. 8
- Distance to the lowest polymorph of the same formula: 48 meV per atom
- Raw total energy: -3.131 eV/atom

Structure (CIF):
```
data_Na2PmI5
_chemical_formula_sum 'Na2 Pm1 I5'
_symmetry_space_group_name_H-M 'P 1'
_symmetry_Int_Tables_number 1
_symmetry_space_group_name_Hall 'P 1'
_cell_length_a 8.8121
_cell_length_b 8.8130
_cell_length_c 9.4623
_cell_angle_alpha 117.58
_cell_angle_beta 117.75
_cell_angle_gamma 90.00
loop_
_atom_site_label
_atom_site_fract_x
_atom_site_fract_y
_atom_site_fract_z
_atom_site_occupancy
I1 0.3099 0.3087 0.1406 1
I2 0.8264 0.8252 0.1318 1
Na1 0.5934 0.0917 0.1867 1
I3 0.3055 0.8252 0.1318 1
Pm1 0.0111 0.0117 0.0222 1
Na2 0.0933 0.5926 0.1866 1
I4 0.8307 0.3087 0.1406 1
I5 0.8068 0.8133 0.6136 1
```

***

The highest raw total energy belongs to which entry? number 4

***

The lowest raw total energy belongs to which entry? Na4Pm2I9